Here is Rb2Al3CrF12 after structural relaxation from Alexandria. Energies are from PBE+U.

a = 7.272 Å, b = 7.272 Å, c = 7.272 Å
α = 58.66°, β = 58.66°, γ = 58.66°
Each line ends with the local moment (μB).
Positions (direct):
Rb 0.623 0.623 0.623  0.00
Rb 0.377 0.377 0.377  0.00
Al 0.500 0.000 0.000  0.00
Al 0.000 0.500 0.000  0.00
Al 0.000 0.000 0.500  0.00
Cr 0.000 0.000 0.000  4.65
F 0.290 0.290 0.913  0.00
F 0.896 0.896 0.410  0.01
F 0.410 0.896 0.896  0.01
F 0.913 0.290 0.290  0.00
F 0.896 0.410 0.896  0.01
F 0.290 0.913 0.290  0.00
F 0.710 0.710 0.087  0.00
F 0.104 0.104 0.590  0.01
F 0.590 0.104 0.104  0.01
F 0.087 0.710 0.710  0.00
F 0.104 0.590 0.104  0.01
F 0.710 0.087 0.710  0.00

Computed properties:
* SG: No. 166
* E: -5.572 eV/atom
* size of the total moment: 5.00 μB/cell